#P
Compound: Tb13Er2
Source: the Alexandria database
Functional: PBE
Structure: optimized geometry

Results
Symmetry = P-1 (2)
Density of states at the Fermi level = 24.9 states/eV/f.u.

Cell and atoms, written as POSCAR:
```
Tb13Er2
1.0
6.5999 0.0000 0.0000
1.2818 8.8243 0.0000
1.2792 3.4873 8.1074
Tb Er
13 2
direct
0.0000 0.0000 0.0000
0.1038 0.4412 0.7572
0.1971 0.1988 0.2023
0.2937 0.6277 0.9757
0.3075 0.9579 0.6390
0.3983 0.3991 0.4022
0.4935 0.1685 0.8352
0.5065 0.8315 0.1648
0.6017 0.6009 0.5978
0.6925 0.0421 0.3610
0.7063 0.3723 0.0243
0.8029 0.8012 0.7977
0.8962 0.5588 0.2428
0.0968 0.7759 0.4254
0.9032 0.2241 0.5746
```

#Q
Compound: Tb13Er2
Source: the Alexandria database
Functional: PBE
Structure: optimized geometry

Results
Symmetry = R-3m (166)
Density of states at the Fermi level = 23.9 states/eV/f.u.

Cell and atoms, written as POSCAR:
```
Tb13Er2
1.0
3.4997 2.0206 11.4748
-3.4997 2.0206 11.4748
0.0000 -4.0411 11.4748
Tb Er
13 2
direct
0.0000 0.0000 0.0000
0.0426 0.5464 0.5464
0.2088 0.7089 0.7089
0.2911 0.2911 0.7912
0.2911 0.7912 0.2911
0.4536 0.4536 0.9574
0.4536 0.9574 0.4536
0.5464 0.0426 0.5464
0.5464 0.5464 0.0426
0.7089 0.2088 0.7089
0.7089 0.7089 0.2088
0.7912 0.2911 0.2911
0.9574 0.4536 0.4536
0.2064 0.2064 0.2064
0.7936 0.7936 0.7936
```

#P is the most stable structure; the next one sits 90 meV/atom above it.

#P
Compound: Tb5Er7
Source: the Alexandria database
Functional: PBE
Structure: optimized geometry

Results
Symmetry = C2/m (12)
Density of states at the Fermi level = 20.4 states/eV/f.u.

Cell and atoms, written as POSCAR:
```
Tb5Er7
1.0
4.7782 -2.8031 0.0000
4.7782 2.8031 0.0000
-3.2638 0.0000 14.1610
Tb Er
5 7
direct
0.0000 0.0000 0.0000
0.1435 0.1435 0.4379
0.3874 0.3874 0.1962
0.6126 0.6126 0.8038
0.8565 0.8565 0.5621
0.0574 0.0574 0.2133
0.2330 0.2330 0.6728
0.3116 0.3116 0.9210
0.5000 0.5000 0.5000
0.6884 0.6884 0.0790
0.7670 0.7670 0.3272
0.9426 0.9426 0.7867
```

#Q
Compound: Tb5Er7
Source: the Alexandria database
Functional: PBE
Structure: optimized geometry

Results
Symmetry = C2/m (12)
Density of states at the Fermi level = 16.6 states/eV/f.u.

Cell and atoms, written as POSCAR:
```
Tb5Er7
1.0
9.1795 -1.7676 0.0000
9.1795 1.7676 0.0000
-6.1236 0.0000 11.4130
Tb Er
5 7
direct
0.0000 0.0000 0.0000
0.1663 0.1663 0.4992
0.3053 0.3053 0.2496
0.6947 0.6947 0.7504
0.8337 0.8337 0.5008
0.0278 0.0278 0.7501
0.3337 0.3337 0.0013
0.3616 0.3616 0.7505
0.5000 0.5000 0.5000
0.6384 0.6384 0.2495
0.6663 0.6663 0.9987
0.9722 0.9722 0.2499
```

#Q is the most stable structure; the next one sits 193 meV/atom above it.

#P
Compound: Tb2Er7
Source: the Alexandria database
Functional: PBE
Structure: optimized geometry

Results
Symmetry = P-31m (162)
Density of states at the Fermi level = 13.5 states/eV/f.u.

Cell and atoms, written as POSCAR:
```
Tb2Er7
1.0
6.0793 0.0000 0.0000
-3.0397 5.2648 0.0000
0.0000 0.0000 8.5977
Tb Er
2 7
direct
0.3333 0.6667 0.0000
0.6667 0.3333 0.0000
0.0000 0.0000 0.0000
0.0000 0.3331 0.6656
0.0000 0.6669 0.3344
0.3331 0.0000 0.6656
0.3331 0.3331 0.3344
0.6669 0.0000 0.3344
0.6669 0.6669 0.6656
```

#Q
Compound: Tb2Er7
Source: the Alexandria database
Functional: PBE
Structure: optimized geometry

Results
Symmetry = P-62m (189)
Density of states at the Fermi level = 16.9 states/eV/f.u.

Cell and atoms, written as POSCAR:
```
Tb2Er7
1.0
9.5480 0.0000 0.0000
-4.7740 8.2688 0.0000
0.0000 0.0000 3.5291
Tb Er
2 7
direct
0.3333 0.6667 0.0000
0.6667 0.3333 0.0000
0.0000 0.0000 0.5000
0.0000 0.3046 0.0000
0.0000 0.6404 0.5000
0.3046 0.0000 0.0000
0.3596 0.3596 0.5000
0.6404 0.0000 0.5000
0.6954 0.6954 0.0000
```

#P is the most stable structure; the next one sits 15 meV/atom above it.

#P
Compound: TbEr4
Source: the Alexandria database
Functional: PBE
Structure: optimized geometry

Results
Symmetry = Cmmm (65)
Density of states at the Fermi level = 8.5 states/eV/f.u.

Cell and atoms, written as POSCAR:
```
TbEr4
1.0
5.3598 0.0000 0.0000
0.0000 16.5027 0.0000
0.0000 0.0000 3.4716
Tb Er
2 8
direct
0.0000 0.0000 0.0000
0.5000 0.5000 0.0000
0.0000 0.1995 0.0000
0.0000 0.3899 0.5000
0.0000 0.6101 0.5000
0.0000 0.8005 0.0000
0.5000 0.1101 0.5000
0.5000 0.3005 0.0000
0.5000 0.6995 0.0000
0.5000 0.8899 0.5000
```

#Q
Compound: TbEr4
Source: the Alexandria database
Functional: PBE
Structure: optimized geometry

Results
Symmetry = Pm-3m (221)
Density of states at the Fermi level = 7.0 states/eV/f.u.

Cell and atoms, written as POSCAR:
```
TbEr4
1.0
5.5587 0.0000 0.0000
0.0000 5.5587 0.0000
0.0000 0.0000 5.5587
Tb Er
1 4
direct
0.0000 0.0000 0.0000
0.0000 0.0000 0.5000
0.0000 0.5000 0.0000
0.5000 0.0000 0.0000
0.5000 0.5000 0.5000
```

#P is the most stable structure; the next one sits 691 meV/atom above it.

#P
Compound: TbEr2
Source: the Alexandria database
Functional: PBE
Structure: optimized geometry

Results
Symmetry = I4/mmm (139)
Density of states at the Fermi level = 4.0 states/eV/f.u.

Cell and atoms, written as POSCAR:
```
TbEr2
1.0
3.5121 0.0000 0.0000
0.0000 3.5121 0.0000
0.0000 0.0000 14.9535
Tb Er
2 4
direct
0.0000 0.0000 0.0000
0.5000 0.5000 0.5000
0.0000 0.0000 0.3327
0.0000 0.0000 0.6673
0.5000 0.5000 0.1673
0.5000 0.5000 0.8327
```

#Q
Compound: TbEr2
Source: the Alexandria database
Functional: PBE
Structure: optimized geometry

Results
Symmetry = C2/c (15)
Density of states at the Fermi level = 5.3 states/eV/f.u.

Cell and atoms, written as POSCAR:
```
TbEr2
1.0
10.7779 0.0000 0.0000
0.0000 6.2204 0.0000
-3.5886 0.0000 5.5909
Tb Er
4 8
direct
0.0000 0.0844 0.2500
0.0000 0.9156 0.7500
0.5000 0.4156 0.7500
0.5000 0.5844 0.2500
0.1664 0.4170 0.7506
0.1664 0.5830 0.2506
0.3336 0.0830 0.2494
0.3336 0.9170 0.7494
0.6664 0.0830 0.2506
0.6664 0.9170 0.7506
0.8336 0.4170 0.7494
0.8336 0.5830 0.2494
```

#Q is the most stable structure; the next one sits 18 meV/atom above it.

#P
Compound: Tb5Er2
Source: the Alexandria database
Functional: PBE
Structure: optimized geometry

Results
Symmetry = P-1 (2)
Density of states at the Fermi level = 10.7 states/eV/f.u.

Cell and atoms, written as POSCAR:
```
Tb5Er2
1.0
3.5103 0.0000 0.0000
-1.7486 8.3247 0.0000
-0.0125 -4.2700 7.5630
Tb Er
5 2
direct
0.0000 0.0000 0.0000
0.2965 0.5913 0.7067
0.3589 0.7204 0.1664
0.6411 0.2796 0.8336
0.7035 0.4087 0.2933
0.0699 0.1411 0.4299
0.9301 0.8589 0.5701
```

#Q
Compound: Tb5Er2
Source: the Alexandria database
Functional: PBE
Structure: optimized geometry

Results
Symmetry = R-3m (166)
Density of states at the Fermi level = 18.5 states/eV/f.u.

Cell and atoms, written as POSCAR:
```
Tb5Er2
1.0
2.8168 1.6263 8.0861
-2.8168 1.6263 8.0861
0.0000 -3.2526 8.0861
Tb Er
5 2
direct
0.0000 0.0000 0.0000
0.2884 0.2884 0.2884
0.4302 0.4302 0.4302
0.5698 0.5698 0.5698
0.7116 0.7116 0.7116
0.1462 0.1462 0.1462
0.8538 0.8538 0.8538
```

#P is the most stable structure; the next one sits 109 meV/atom above it.